Density functional theory data (PBE) for a relaxed structure of ZnCd2Pt.

POSCAR file:
```
ZnCd2Pt
1.0
0.000 3.285 3.285
3.285 0.000 3.285
3.285 3.285 0.000
Zn Cd Pt
1 2 1
Direct
0.000 0.000 0.000
0.500 0.500 0.500
0.750 0.750 0.750
0.250 0.250 0.250
```

total moment = 0.0 μB per formula unit
SG = F-43m (216)
formation energy = -63 kJ/mol of formula units